This record from Alexandria describes a geometry-optimized ReBi2W structure. The functional is PBE.

Lattice parameters (Å, degrees): 7.897 7.897 7.897 133.81 133.81 67.39
Fractional positions:
Re  0.000  0.000  0.000
Re  0.750  0.250  0.500
Bi  0.114  0.625  0.989
Bi  0.375  0.364  0.489
Bi  0.636  0.125  0.011
Bi  0.875  0.886  0.511
W  0.250  0.750  0.500
W  0.500  0.500  0.000

## Properties
Relative energy among the computed polymorphs: 809 meV per atom
Formation enthalpy at 0 K: 2.0020 eV per atom

This record from Alexandria describes a geometry-optimized TaGe2Rh2 structure. The functional is PBE.

Lattice parameters (Å, degrees): 7.310 7.310 2.854 90.00 90.00 90.00
Fractional positions:
Ta  0.000  0.000  0.000
Ta  0.500  0.500  0.000
Ge  0.149  0.351  0.000
Ge  0.351  0.851  0.000
Ge  0.649  0.149  0.000
Ge  0.851  0.649  0.000
Rh  0.150  0.650  0.500
Rh  0.350  0.150  0.500
Rh  0.650  0.850  0.500
Rh  0.850  0.350  0.500

## Properties
Formation enthalpy at 0 K: -0.3183 eV per atom

This record from Alexandria describes a geometry-optimized NdScGa2Ni2 structure. The functional is PBE.

Lattice parameters (Å, degrees): 4.285 4.285 6.848 90.00 90.00 120.00
Fractional positions:
Nd  0.000  0.000  0.000
Sc  0.000  0.000  0.500
Ga  0.333  0.667  0.294
Ga  0.667  0.333  0.706
Ni  0.333  0.667  0.697
Ni  0.667  0.333  0.303

## Properties
Formation enthalpy at 0 K: -0.6102 eV per atom

This record from Alexandria describes a geometry-optimized LaAl4Pt6 structure. The functional is PBE.

Lattice parameters (Å, degrees): 6.606 6.606 6.606 118.27 118.27 93.02
Fractional positions:
La  0.000  0.000  0.000
Al  0.131  0.531  0.000
Al  0.469  0.469  0.599
Al  0.531  0.131  0.000
Al  0.869  0.869  0.401
Pt  0.000  0.500  0.500
Pt  0.226  0.226  0.685
Pt  0.459  0.774  0.000
Pt  0.500  0.000  0.500
Pt  0.541  0.541  0.315
Pt  0.774  0.459  0.000

## Properties
Formation enthalpy at 0 K: -0.7351 eV per atom

This record from Alexandria describes a geometry-optimized Pr3SiGe6Pd2 structure. The functional is PBE.

Lattice parameters (Å, degrees): 5.748 5.748 9.233 90.00 90.00 120.00
Fractional positions:
Pr  0.000  0.000  0.000
Pr  0.333  0.667  0.590
Pr  0.667  0.333  0.410
Si  0.000  0.000  0.500
Ge  0.173  0.347  0.276
Ge  0.173  0.827  0.276
Ge  0.347  0.173  0.724
Ge  0.653  0.827  0.276
Ge  0.827  0.173  0.724
Ge  0.827  0.653  0.724
Pd  0.333  0.667  0.047
Pd  0.667  0.333  0.953

## Properties
Raw formation energy: -408 kJ/mol of formula units

This record from Alexandria describes a geometry-optimized ScZn2Cu2 structure. The functional is PBE.

Lattice parameters (Å, degrees): 11.657 11.657 11.657 161.58 161.58 26.17
Fractional positions:
Sc  0.123  0.123  0.000
Sc  0.877  0.877  0.000
Zn  0.000  0.500  0.500
Zn  0.322  0.322  0.000
Zn  0.500  0.000  0.500
Zn  0.678  0.678  0.000
Cu  0.250  0.750  0.500
Cu  0.427  0.427  0.000
Cu  0.573  0.573  0.000
Cu  0.750  0.250  0.500

## Properties
Relative energy among the computed polymorphs: 28 meV per atom
Formation enthalpy at 0 K: -0.1664 eV per atom

This record from Alexandria describes a geometry-optimized KMg2Mn structure. The functional is PBE.

Lattice parameters (Å, degrees): 5.305 5.305 7.329 94.51 94.51 34.14
Fractional positions:
K  0.000  0.000  0.000
Mg  0.236  0.236  0.659
Mg  0.495  0.495  0.464
Mn  0.761  0.761  0.340

## Properties
Relative energy among the computed polymorphs: 121 meV per atom
Formation enthalpy at 0 K: 0.4716 eV per atom

This record from Alexandria describes a geometry-optimized InCo2Cl structure. The functional is PBE.

Lattice parameters (Å, degrees): 3.184 3.713 6.089 90.00 90.00 90.00
Fractional positions:
In  0.000  0.000  0.000
Co  0.500  0.500  0.182
Co  0.500  0.500  0.818
Cl  0.000  0.000  0.500

## Properties
Raw formation energy: 166 kJ/mol of formula units
Relative energy among the computed polymorphs: 280 meV per atom

Density of states at the Fermi level values (in states/eV per atom) by entry order: 1.302 0.642 0.825 0.648 0.213 0.560 0.722 0.794.
Total energy values (in eV/atom) by entry order: -6.2888 -7.4764 -5.3962 -5.8389 -5.1736 -3.5808 -2.8924 -4.2695.